54
Lattice="5.443 0.000 0.000 0.000 8.425 0.000 -1.801 0.000 9.455" Properties=species:S:1:pos:R:3 comment="CoH12C6N2O6 | the Open Quantum Materials Database | GGA+U | relaxed" crystal_system=monoclinic space_group="P2_1 (4)" energy_ev_per_atom=-6.025 total_magnetization_mub_per_cell=6.00 pbc="T T T"
Co -0.419 0.000 2.833
Co 4.061 4.213 6.622
H -0.260 3.792 2.161
H -1.313 6.693 9.371
H -0.394 2.458 8.403
H 0.416 5.050 4.562
H 0.175 7.675 6.113
H 0.946 6.223 2.721
H 1.295 3.046 1.707
H 0.048 3.989 8.802
H 2.070 5.034 1.090
H 0.955 5.395 7.408
H 1.746 7.156 3.797
H 1.981 2.482 3.502
H 1.661 6.695 5.953
H 1.896 2.944 5.658
H 2.687 1.183 2.047
H 1.572 0.822 8.366
H 3.594 8.201 0.653
H 2.347 7.258 7.748
H 2.696 2.010 6.734
H 3.467 3.462 3.343
H 3.226 0.837 4.893
H 4.036 6.671 1.052
H 4.955 2.480 0.084
H 3.902 8.005 7.294
C 0.002 3.466 0.053
C -0.434 2.037 4.969
C 0.551 3.799 1.426
C 0.144 6.117 4.586
C 1.106 0.226 0.330
C 0.565 6.659 5.954
C 3.077 2.446 3.502
C 2.536 4.439 9.126
C 3.498 1.904 4.870
C 3.091 8.011 8.029
C 4.076 6.249 4.487
C 3.640 7.679 9.402
N -0.746 3.423 8.480
N 0.794 6.869 3.517
N 2.848 2.656 5.938
N 4.388 7.635 0.976
O 0.043 3.014 5.638
O 0.299 1.219 4.331
O 1.128 5.103 1.410
O 0.121 5.803 7.020
O 1.209 0.581 1.557
O 0.090 0.598 8.868
O 3.552 4.810 0.587
O 2.433 4.793 7.898
O 3.521 1.591 2.436
O 2.514 0.891 8.045
O 3.343 5.432 5.124
O 3.599 7.227 3.817